A plane-wave DFT calculation with PBE+U was carried out for crystalline NiHNF2 at its relaxed geometry.

a b c (Å): 3.9408 3.9408 3.7858
angles (deg): 90.00 90.00 90.00
Fractional coordinates of all 5 atoms:
Ni 0.0000 0.0000 0.0000
H 0.5000 0.5000 0.5000
F 0.0000 0.5000 0.0000
F 0.5000 0.0000 0.0000
N 0.0000 0.0000 0.5000

Output
Polymorph energy (0 for the lowest one): 0.000 eV per atom